1.
Entry from the Alexandria database: Ta2MoW2 after structural relaxation (PBE).

a = 9.686 Å, b = 4.475 Å, c = 8.708 Å
α = 90.00°, β = 108.14°, γ = 90.00°
Space group C2/m (No. 12)
Inequivalent atoms, fractional coordinates:
Ta 0.042 0.000 0.346
Ta 0.160 0.000 0.057
Mo 0.213 0.500 0.356
W 0.049 0.500 0.877
W 0.127 0.500 0.619

Summary:
The value obtained for the formation energy is 0.323 eV/atom. The volume comes out at 17.93 Å³ per atom. For the total magnetization, the calculation gives 0.00 μB/cell. The value obtained for the density of states at the Fermi level is 4.27 states/eV/f.u. As for the raw total energy: -11.7659 eV/atom. As for the excess energy over the best structure of this formula in the dataset: 0.0 meV per atom.

2.
Entry from the Alexandria database: TaMo3W4 after structural relaxation (PBE).

a = 3.184 Å, b = 4.517 Å, c = 9.038 Å
α = 90.00°, β = 90.00°, γ = 90.00°
Space group Pmmm (No. 47)
Inequivalent atoms, fractional coordinates:
Ta 0.000 0.000 0.000
Mo 0.000 0.000 0.500
Mo 0.000 0.500 0.252
W 0.500 0.000 0.255
W 0.500 0.500 0.000
W 0.500 0.500 0.500

Summary:
The value obtained for the formation energy is -0.057 eV/atom. The volume comes out at 16.25 Å³ per atom. For the total magnetization, the calculation gives 0.00 μB/cell. The value obtained for the density of states at the Fermi level is 3.28 states/eV/f.u. As for the raw total energy: -12.0772 eV/atom. As for the excess energy over the best structure of this formula in the dataset: 0.0 meV per atom.

3.
Entry from the Alexandria database: Ta12MoW6 after structural relaxation (PBE).

a = 11.1128 Å, b = 11.1128 Å, c = 9.8390 Å
α = 90.00°, β = 90.00°, γ = 120.00°
Space group R-3m (No. 166, hexagonal axes)
Inequivalent atoms, fractional coordinates:
Ta 0.0444 0.5222 0.1280
Ta 0.0864 0.1728 0.7433
Mo 0.0000 0.0000 0.5000
W 0.0000 0.2593 0.0000

Summary:
The value obtained for the formation energy is 0.316 eV/atom. The volume comes out at 18.46 Å³ per atom. For the total magnetization, the calculation gives 0.00 μB/cell. The value obtained for the density of states at the Fermi level is 19.73 states/eV/f.u. As for the raw total energy: -11.8303 eV/atom.

4.
Entry from the Alexandria database: Ta3MoW after structural relaxation (PBE).

a = 13.390 Å, b = 4.593 Å, c = 5.652 Å
α = 90.00°, β = 97.82°, γ = 90.00°
Space group C2/m (No. 12)
Inequivalent atoms, fractional coordinates:
Ta 0.006 0.000 0.251
Ta 0.105 0.500 0.955
Ta 0.202 0.000 0.650
Mo 0.199 0.000 0.151
W 0.097 0.500 0.454

Summary:
The value obtained for the formation energy is -0.139 eV/atom. The volume comes out at 17.22 Å³ per atom. For the total magnetization, the calculation gives 0.00 μB/cell. The value obtained for the density of states at the Fermi level is 4.27 states/eV/f.u. As for the raw total energy: -12.0078 eV/atom. As for the excess energy over the best structure of this formula in the dataset: 0.0 meV per atom.

5.
Entry from the Alexandria database: Ta12MoW7 after structural relaxation (PBE).

a = 9.8257 Å, b = 9.8257 Å, c = 13.2051 Å
α = 90.00°, β = 90.00°, γ = 120.00°
Space group R-3 (No. 148, hexagonal axes)
Inequivalent atoms, fractional coordinates:
Ta 0.0261 0.4475 0.2035
Ta 0.0535 0.5847 0.5910
Mo 0.0000 0.0000 0.5000
W 0.0000 0.0000 0.0000
W 0.0515 0.1870 0.3180

Summary:
The value obtained for the formation energy is 0.349 eV/atom. The volume comes out at 18.40 Å³ per atom. For the total magnetization, the calculation gives 0.00 μB/cell. The value obtained for the density of states at the Fermi level is 16.18 states/eV/f.u. As for the raw total energy: -11.8381 eV/atom.

6.
Entry from the Alexandria database: TaMo2W4 after structural relaxation (PBE).

a = 6.937 Å, b = 6.937 Å, c = 5.017 Å
α = 90.00°, β = 90.00°, γ = 90.00°
Space group I4/mmm (No. 139)
Inequivalent atoms, fractional coordinates:
Ta 0.000 0.000 0.000
Mo 0.000 0.500 0.250
W 0.187 0.187 0.500

Summary:
The value obtained for the formation energy is 0.464 eV/atom. The volume comes out at 17.25 Å³ per atom. For the total magnetization, the calculation gives 0.00 μB/cell. The value obtained for the density of states at the Fermi level is 5.84 states/eV/f.u. As for the raw total energy: -11.7260 eV/atom. As for the excess energy over the best structure of this formula in the dataset: 38.0 meV per atom.

7.
Entry from the Alexandria database: Ta3MoW after structural relaxation (PBE).

a = 5.405 Å, b = 5.421 Å, c = 6.461 Å
α = 72.58°, β = 72.70°, γ = 84.01°
Space group P-1 (No. 2)
Inequivalent atoms, fractional coordinates:
Ta 0.002 0.001 0.250
Ta 0.210 0.406 0.845
Ta 0.212 0.409 0.346
Mo 0.400 0.808 0.448
W 0.401 0.809 0.947

Summary:
The value obtained for the formation energy is -0.116 eV/atom. The volume comes out at 17.24 Å³ per atom. For the total magnetization, the calculation gives 0.00 μB/cell. The value obtained for the density of states at the Fermi level is 4.43 states/eV/f.u. As for the raw total energy: -11.9842 eV/atom. As for the excess energy over the best structure of this formula in the dataset: 23.7 meV per atom.

8.
Entry from the Alexandria database: Ta4Mo4W5 after structural relaxation (PBE).

a = 13.245 Å, b = 4.545 Å, c = 8.347 Å
α = 90.00°, β = 120.97°, γ = 90.00°
Space group C2/m (No. 12)
Inequivalent atoms, fractional coordinates:
Ta 0.077 0.000 0.198
Ta 0.119 0.500 0.038
Mo 0.154 0.000 0.882
Mo 0.231 0.000 0.576
W 0.000 0.000 0.500
W 0.040 0.500 0.351
W 0.190 0.500 0.729

Summary:
The value obtained for the formation energy is -0.106 eV/atom. The volume comes out at 16.57 Å³ per atom. For the total magnetization, the calculation gives 0.00 μB/cell. The value obtained for the density of states at the Fermi level is 6.46 states/eV/f.u. As for the raw total energy: -12.0679 eV/atom.

9.
Entry from the Alexandria database: Ta2MoW6 after structural relaxation (PBE).

a = 9.676 Å, b = 6.588 Å, c = 5.174 Å
α = 90.00°, β = 105.43°, γ = 90.00°
Space group C2/m (No. 12)
Inequivalent atoms, fractional coordinates:
Ta 0.194 0.000 0.316
Mo 0.000 0.500 0.500
W 0.095 0.191 0.802
W 0.144 0.500 0.141

Summary:
The value obtained for the formation energy is 0.568 eV/atom. The volume comes out at 17.66 Å³ per atom. For the total magnetization, the calculation gives 0.00 μB/cell. The value obtained for the density of states at the Fermi level is 7.59 states/eV/f.u. As for the raw total energy: -11.9051 eV/atom. As for the excess energy over the best structure of this formula in the dataset: 386.4 meV per atom.

10.
Entry from the Alexandria database: Ta14MoW after structural relaxation (PBE).

a = 6.584 Å, b = 6.584 Å, c = 6.608 Å
α = 90.00°, β = 90.00°, γ = 90.00°
Space group P4/mmm (No. 123)
Inequivalent atoms, fractional coordinates:
Ta 0.000 0.000 0.000
Ta 0.000 0.500 0.000
Ta 0.000 0.500 0.500
Ta 0.250 0.250 0.255
Ta 0.500 0.500 0.000
Mo 0.000 0.000 0.500
W 0.500 0.500 0.500

Summary:
The value obtained for the formation energy is -0.031 eV/atom. The volume comes out at 17.90 Å³ per atom. For the total magnetization, the calculation gives 0.00 μB/cell. The value obtained for the density of states at the Fermi level is 21.22 states/eV/f.u. As for the raw total energy: -11.8881 eV/atom.

11.
Entry from the Alexandria database: Ta4Mo2W after structural relaxation (PBE).

a = 4.5419 Å, b = 4.5419 Å, c = 21.7217 Å
α = 90.00°, β = 90.00°, γ = 120.00°
Space group R-3m (No. 166, hexagonal axes)
Inequivalent atoms, fractional coordinates:
Ta 0.0000 0.0000 0.1208
Ta 0.0000 0.0000 0.3717
Mo 0.0000 0.0000 0.2496
W 0.0000 0.0000 0.5000

Summary:
The value obtained for the formation energy is 0.239 eV/atom. The volume comes out at 18.48 Å³ per atom. For the total magnetization, the calculation gives 0.00 μB/cell. The value obtained for the density of states at the Fermi level is 6.82 states/eV/f.u. As for the raw total energy: -11.4791 eV/atom. As for the excess energy over the best structure of this formula in the dataset: 0.0 meV per atom.

12.
Entry from the Alexandria database: Ta3Mo4W4 after structural relaxation (PBE).

a = 2.610 Å, b = 4.648 Å, c = 30.730 Å
α = 90.00°, β = 90.00°, γ = 90.00°
Space group Immm (No. 71)
Inequivalent atoms, fractional coordinates:
Ta 0.000 0.000 0.000
Ta 0.000 0.500 0.138
Mo 0.000 0.000 0.454
Mo 0.000 0.500 0.318
W 0.000 0.000 0.270
W 0.000 0.500 0.409

Summary:
The value obtained for the formation energy is 0.333 eV/atom. The volume comes out at 16.94 Å³ per atom. For the total magnetization, the calculation gives 0.00 μB/cell. The value obtained for the density of states at the Fermi level is 10.22 states/eV/f.u. As for the raw total energy: -11.5486 eV/atom.